Entry from the Alexandria database: a relaxed ScSICl2 crystal (GGA-PBE).

Summary:
The excess energy over the best structure of this formula in the dataset comes out at 0.000 eV/atom. The value obtained for the uncorrected formation energy is -992 meV per atom. The calculation puts the spin magnetization at 0.0 μB per formula unit.

```
data_ScSICl2
_cell_length_a 4.837
_cell_length_b 4.837
_cell_length_c 5.537
_cell_angle_alpha 90.00
_cell_angle_beta 90.00
_cell_angle_gamma 90.00
_space_group_name_H-M_alt 'P 4/m m m'
_space_group_IT_number 123
_space_group_name_Hall '-P 4 2'
loop_
_atom_site_label
_atom_site_type_symbol
_atom_site_fract_x
_atom_site_fract_y
_atom_site_fract_z
_atom_site_occupancy
Sc1 Sc 0.000 0.000 0.000 1
S1 S 0.000 0.000 0.500 1
I1 I 0.500 0.500 0.500 1
Cl1 Cl 0.000 0.500 0.000 1
```